Entry 1:
# Ce6PdAu5 (PBE, optimized geometry)
data_Ce6PdAu5
_symmetry_space_group_name_H-M 'C 1 2/m 1'
_symmetry_Int_Tables_number 12
_symmetry_space_group_name_Hall '-C 2y'
_cell_length_a 15.323
_cell_length_b 7.301
_cell_length_c 5.335
_cell_angle_alpha 90.00
_cell_angle_beta 106.08
_cell_angle_gamma 90.00
loop_
_atom_site_label
_atom_site_type_symbol
_atom_site_fract_x
_atom_site_fract_y
_atom_site_fract_z
_atom_site_occupancy
Ce1 Ce 0.000 0.246 0.000 1
Ce2 Ce 0.166 0.246 0.736 1
Pd1 Pd 0.000 0.000 0.500 1
Au1 Au 0.000 0.500 0.500 1
Au2 Au 0.167 0.500 0.254 1
Au3 Au 0.168 0.000 0.255 1
# Formation energy from the elements: -13.91 kcal/mol of atoms

Entry 2:
# CePd2Au (PBE, optimized geometry)
data_CePd2Au
_symmetry_space_group_name_H-M 'F m -3 m'
_symmetry_Int_Tables_number 225
_symmetry_space_group_name_Hall '-F 4 2 3'
_cell_length_a 6.780
_cell_length_b 6.780
_cell_length_c 6.780
_cell_angle_alpha 90.00
_cell_angle_beta 90.00
_cell_angle_gamma 90.00
loop_
_atom_site_label
_atom_site_type_symbol
_atom_site_fract_x
_atom_site_fract_y
_atom_site_fract_z
_atom_site_occupancy
Ce1 Ce 0.000 0.000 0.000 1
Pd1 Pd 0.250 0.250 0.250 1
Au1 Au 0.000 0.000 0.500 1
# Distance to the lowest polymorph of the same formula: 61.1 meV/atom
# Formation energy from the elements: -14.51 kcal/mol of atoms

Entry 3:
# Ce2Pd9Au (PBE, optimized geometry)
data_Ce2Pd9Au
_symmetry_space_group_name_H-M 'P 4/m m m'
_symmetry_Int_Tables_number 123
_symmetry_space_group_name_Hall '-P 4 2'
_cell_length_a 4.136
_cell_length_b 4.136
_cell_length_c 12.125
_cell_angle_alpha 90.00
_cell_angle_beta 90.00
_cell_angle_gamma 90.00
loop_
_atom_site_label
_atom_site_type_symbol
_atom_site_fract_x
_atom_site_fract_y
_atom_site_fract_z
_atom_site_occupancy
Ce1 Ce 0.000 0.000 0.177 1
Pd1 Pd 0.000 0.500 0.000 1
Pd2 Pd 0.000 0.500 0.335 1
Pd3 Pd 0.500 0.500 0.168 1
Pd4 Pd 0.500 0.500 0.500 1
Au1 Au 0.000 0.000 0.500 1
# Formation energy from the elements: -13.61 kcal/mol of atoms

Entry 4:
# CePd4Au3 (PBE, optimized geometry)
data_CePd4Au3
_symmetry_space_group_name_H-M 'C 1 2 1'
_symmetry_Int_Tables_number 5
_symmetry_space_group_name_Hall 'C 2y'
_cell_length_a 10.064
_cell_length_b 4.904
_cell_length_c 6.225
_cell_angle_alpha 90.00
_cell_angle_beta 110.52
_cell_angle_gamma 90.00
loop_
_atom_site_label
_atom_site_type_symbol
_atom_site_fract_x
_atom_site_fract_y
_atom_site_fract_z
_atom_site_occupancy
Ce1 Ce 0.000 0.000 0.000 1
Pd1 Pd 0.011 0.546 0.736 1
Pd2 Pd 0.245 0.914 0.381 1
Au1 Au 0.000 0.048 0.500 1
Au2 Au 0.236 0.427 0.138 1
# Formation energy from the elements: -9.38 kcal/mol of atoms

Entry 5:
# CePd2Au (PBE, optimized geometry)
data_CePd2Au
_symmetry_space_group_name_H-M 'I 4/m m m'
_symmetry_Int_Tables_number 139
_symmetry_space_group_name_Hall '-I 4 2'
_cell_length_a 4.317
_cell_length_b 4.317
_cell_length_c 8.244
_cell_angle_alpha 90.00
_cell_angle_beta 90.00
_cell_angle_gamma 90.00
loop_
_atom_site_label
_atom_site_type_symbol
_atom_site_fract_x
_atom_site_fract_y
_atom_site_fract_z
_atom_site_occupancy
Ce1 Ce 0.000 0.000 0.000 1
Pd1 Pd 0.000 0.500 0.250 1
Au1 Au 0.000 0.000 0.500 1
# Distance to the lowest polymorph of the same formula: 0.0 meV/atom
# Formation energy from the elements: -15.92 kcal/mol of atoms

Entry 6:
# CePdAu2 (PBE, optimized geometry)
data_CePdAu2
_symmetry_space_group_name_H-M 'C m c m'
_symmetry_Int_Tables_number 63
_symmetry_space_group_name_Hall '-C 2c 2'
_cell_length_a 4.303
_cell_length_b 10.020
_cell_length_c 7.776
_cell_angle_alpha 90.00
_cell_angle_beta 90.00
_cell_angle_gamma 90.00
loop_
_atom_site_label
_atom_site_type_symbol
_atom_site_fract_x
_atom_site_fract_y
_atom_site_fract_z
_atom_site_occupancy
Ce1 Ce 0.000 0.069 0.250 1
Pd1 Pd 0.000 0.225 0.750 1
Au1 Au 0.000 0.367 0.057 1
# Formation energy from the elements: -15.09 kcal/mol of atoms

Entry 7:
# CePd4Au2 (PBE, optimized geometry)
data_CePd4Au2
_symmetry_space_group_name_H-M 'C m m m'
_symmetry_Int_Tables_number 65
_symmetry_space_group_name_Hall '-C 2 2'
_cell_length_a 5.872
_cell_length_b 9.639
_cell_length_c 4.773
_cell_angle_alpha 90.00
_cell_angle_beta 90.00
_cell_angle_gamma 90.00
loop_
_atom_site_label
_atom_site_type_symbol
_atom_site_fract_x
_atom_site_fract_y
_atom_site_fract_z
_atom_site_occupancy
Ce1 Ce 0.000 0.000 0.000 1
Pd1 Pd 0.238 0.500 0.500 1
Pd2 Pd 0.250 0.250 0.000 1
Au1 Au 0.000 0.249 0.500 1
# Distance to the lowest polymorph of the same formula: 18.8 meV/atom
# Formation energy from the elements: -8.31 kcal/mol of atoms

Entry 8:
# CePdAu2 (PBE, optimized geometry)
data_CePdAu2
_symmetry_space_group_name_H-M 'P n m a'
_symmetry_Int_Tables_number 62
_symmetry_space_group_name_Hall '-P 2ac 2n'
_cell_length_a 7.783
_cell_length_b 8.053
_cell_length_c 5.371
_cell_angle_alpha 90.00
_cell_angle_beta 90.00
_cell_angle_gamma 90.00
loop_
_atom_site_label
_atom_site_type_symbol
_atom_site_fract_x
_atom_site_fract_y
_atom_site_fract_z
_atom_site_occupancy
Ce1 Ce 0.035 0.250 0.106 1
Pd1 Pd 0.109 0.750 0.384 1
Au1 Au 0.188 0.055 0.582 1
# Formation energy from the elements: -14.41 kcal/mol of atoms

Entry 9:
# Ce2Pd8Au (PBE, optimized geometry)
data_Ce2Pd8Au
_symmetry_space_group_name_H-M 'P 4/m m m'
_symmetry_Int_Tables_number 123
_symmetry_space_group_name_Hall '-P 4 2'
_cell_length_a 4.178
_cell_length_b 4.178
_cell_length_c 11.663
_cell_angle_alpha 90.00
_cell_angle_beta 90.00
_cell_angle_gamma 90.00
loop_
_atom_site_label
_atom_site_type_symbol
_atom_site_fract_x
_atom_site_fract_y
_atom_site_fract_z
_atom_site_occupancy
Ce1 Ce 0.000 0.000 0.181 1
Pd1 Pd 0.000 0.500 0.000 1
Pd2 Pd 0.000 0.500 0.344 1
Pd3 Pd 0.500 0.500 0.172 1
Au1 Au 0.000 0.000 0.500 1
# Formation energy from the elements: -12.16 kcal/mol of atoms

Entry 10:
# Ce2Pd4Au (PBE, optimized geometry)
data_Ce2Pd4Au
_symmetry_space_group_name_H-M 'I 4/m m m'
_symmetry_Int_Tables_number 139
_symmetry_space_group_name_Hall '-I 4 2'
_cell_length_a 4.046
_cell_length_b 4.046
_cell_length_c 18.102
_cell_angle_alpha 90.00
_cell_angle_beta 90.00
_cell_angle_gamma 90.00
loop_
_atom_site_label
_atom_site_type_symbol
_atom_site_fract_x
_atom_site_fract_y
_atom_site_fract_z
_atom_site_occupancy
Ce1 Ce 0.000 0.000 0.115 1
Pd1 Pd 0.000 0.000 0.353 1
Pd2 Pd 0.000 0.500 0.250 1
Au1 Au 0.000 0.000 0.500 1
# Formation energy from the elements: -14.97 kcal/mol of atoms

Entry 11:
# Ce2Pd15Au2 (PBE, optimized geometry)
data_Ce2Pd15Au2
_symmetry_space_group_name_H-M 'R -3 m'
_symmetry_Int_Tables_number 166
_symmetry_space_group_name_Hall '-R 3 2"'
_cell_length_a 9.1782
_cell_length_b 9.1782
_cell_length_c 13.7279
_cell_angle_alpha 90.00
_cell_angle_beta 90.00
_cell_angle_gamma 120.00
loop_
_atom_site_label
_atom_site_type_symbol
_atom_site_fract_x
_atom_site_fract_y
_atom_site_fract_z
_atom_site_occupancy
Ce1 Ce 0.0000 0.0000 0.1610 1
Pd1 Pd 0.0000 0.3103 0.5000 1
Pd2 Pd 0.0000 0.5000 0.0000 1
Pd3 Pd 0.0063 0.5032 0.6547 1
Au1 Au 0.0000 0.0000 0.3988 1
# Formation energy from the elements: -7.30 kcal/mol of atoms

Entry 12:
# CePd4Au (PBE, optimized geometry)
data_CePd4Au
_symmetry_space_group_name_H-M 'F -4 3 m'
_symmetry_Int_Tables_number 216
_symmetry_space_group_name_Hall 'F -4 2 3'
_cell_length_a 7.570
_cell_length_b 7.570
_cell_length_c 7.570
_cell_angle_alpha 90.00
_cell_angle_beta 90.00
_cell_angle_gamma 90.00
loop_
_atom_site_label
_atom_site_type_symbol
_atom_site_fract_x
_atom_site_fract_y
_atom_site_fract_z
_atom_site_occupancy
Ce1 Ce 0.000 0.000 0.000 1
Pd1 Pd 0.125 0.125 0.375 1
Au1 Au 0.250 0.250 0.750 1
# Formation energy from the elements: -13.52 kcal/mol of atoms

Looking at N(E_F) for the records above, in order, we have 61.4, 23.6, 6.2, 11.7, 10.6, 27.1, 11.0, 28.9, 7.4, 25.7, 88.7, 19.6 states/eV per cell.